1.
A plane-wave DFT calculation with PBE was carried out for a geometry-optimized PmNd12Y6 structure.

Results
DFT formation energy in eV per atom: 0.23
Energy in Ry/atom: -0.37303
M_tot in Bohr magnetons per cell: 0.00
Crystal system: cubic
Offset from the most stable computed form in meV per atom: 39

abc: 10.975 10.975 10.975
angles: 90.00 90.00 90.00
Space group Im-3 (No. 204)
Inequivalent atoms, fractional coordinates:
Pm  0.000  0.000  0.000 (multiplicity 2)
Nd  0.000  0.263  0.197 (multiplicity 24)
Y  0.000  0.144  0.500 (multiplicity 12)

2.
A plane-wave DFT calculation with PBE was carried out for a geometry-optimized Pm2Nd3Y6 structure.

Results
DFT formation energy in eV per atom: 0.01
Energy in Ry/atom: -0.41740
M_tot in Bohr magnetons per cell: 0.00
Crystal system: trigonal
Offset from the most stable computed form in meV per atom: 0

abc: 3.6203 3.6203 96.7725
angles: 90.00 90.00 120.00
Space group R-3m (No. 166, hexagonal axes)
Inequivalent atoms, fractional coordinates:
Pm  0.0000  0.0000  0.0453 (multiplicity 6)
Nd  0.0000  0.0000  0.2274 (multiplicity 6)
Nd  0.0000  0.0000  0.5000 (multiplicity 3)
Y  0.0000  0.0000  0.1363 (multiplicity 6)
Y  0.0000  0.0000  0.3184 (multiplicity 6)
Y  0.0000  0.0000  0.4089 (multiplicity 6)

3.
A plane-wave DFT calculation with PBE was carried out for a geometry-optimized Pm3Nd2Y structure.

Results
DFT formation energy in eV per atom: 0.15
Energy in Ry/atom: -0.35990
M_tot in Bohr magnetons per cell: 0.00
Crystal system: triclinic
Offset from the most stable computed form in meV per atom: 91

abc: 3.495 6.692 9.277
angles: 77.41 79.34 89.98
Space group P-1 (No. 2)
Inequivalent atoms, fractional coordinates:
Pm  0.000  0.000  0.000 (multiplicity 1)
Pm  0.173  0.360  0.659 (multiplicity 2)
Nd  0.339  0.150  0.323 (multiplicity 2)
Y  0.000  0.500  0.000 (multiplicity 1)

4.
A plane-wave DFT calculation with PBE was carried out for a geometry-optimized Pm3NdY6 structure.

Results
DFT formation energy in eV per atom: 0.26
Energy in Ry/atom: -0.40580
M_tot in Bohr magnetons per cell: 0.00
Crystal system: trigonal
Offset from the most stable computed form in meV per atom: 118

abc: 9.9971 9.9971 11.6805
angles: 90.00 90.00 120.00
Space group R3 (No. 146, hexagonal axes)
Inequivalent atoms, fractional coordinates:
Pm  0.0000  0.0000  0.0000 (multiplicity 3)
Pm  0.0000  0.0000  0.2490 (multiplicity 3)
Pm  0.0000  0.0000  0.4982 (multiplicity 3)
Nd  0.0000  0.0000  0.7489 (multiplicity 3)
Y  0.9999  0.3271  0.7482 (multiplicity 9)
Y  0.9999  0.6734  0.2482 (multiplicity 9)

5.
A plane-wave DFT calculation with PBE was carried out for a geometry-optimized PmNd10Y6 structure.

Results
DFT formation energy in eV per atom: 0.13
Energy in Ry/atom: -0.38459
M_tot in Bohr magnetons per cell: 0.00
Crystal system: trigonal

abc: 9.9113 9.9113 6.9531
angles: 90.00 90.00 120.00
Space group P-31m (No. 162)
Inequivalent atoms, fractional coordinates:
Pm  0.0000  0.0000  0.0000 (multiplicity 1)
Nd  0.0000  0.2762  0.3196 (multiplicity 6)
Nd  0.3333  0.6667  0.0000 (multiplicity 2)
Nd  0.3333  0.6667  0.5000 (multiplicity 2)
Y  0.0000  0.3692  0.8116 (multiplicity 6)

6.
A plane-wave DFT calculation with PBE was carried out for a geometry-optimized PmNd5Y4 structure.

Results
DFT formation energy in eV per atom: 0.15
Energy in Ry/atom: -0.38950
M_tot in Bohr magnetons per cell: 0.00
Crystal system: monoclinic
Offset from the most stable computed form in meV per atom: 0

abc: 28.575 3.524 6.904
angles: 90.00 97.28 90.00
Space group C2/m (No. 12)
Inequivalent atoms, fractional coordinates:
Pm  0.000  0.000  0.000 (multiplicity 2)
Nd  0.000  0.000  0.500 (multiplicity 2)
Nd  0.200  0.500  0.598 (multiplicity 4)
Nd  0.206  0.500  0.105 (multiplicity 4)
Y  0.094  0.500  0.297 (multiplicity 4)
Y  0.108  0.000  0.812 (multiplicity 4)

7.
A plane-wave DFT calculation with PBE was carried out for a geometry-optimized PmNd6Y12 structure.

Results
DFT formation energy in eV per atom: 0.20
Energy in Ry/atom: -0.41406
M_tot in Bohr magnetons per cell: 0.00
Crystal system: trigonal
Offset from the most stable computed form in meV per atom: 0

abc: 13.4281 13.4281 12.6369
angles: 90.00 90.00 120.00
Space group R-3m (No. 166, hexagonal axes)
Inequivalent atoms, fractional coordinates:
Pm  0.0000  0.0000  0.0000 (multiplicity 3)
Nd  0.0390  0.5195  0.6178 (multiplicity 18)
Y  0.0000  0.2577  0.5000 (multiplicity 18)
Y  0.0909  0.1817  0.2625 (multiplicity 18)

8.
A plane-wave DFT calculation with PBE was carried out for a geometry-optimized Pm2Nd5Y2 structure.

Results
DFT formation energy in eV per atom: 0.20
Energy in Ry/atom: -0.36341
M_tot in Bohr magnetons per cell: 0.00
Crystal system: orthorhombic
Offset from the most stable computed form in meV per atom: 152

abc: 15.064 12.012 6.904
angles: 90.00 90.00 90.00
Space group Ima2 (No. 46)
Inequivalent atoms, fractional coordinates:
Pm  0.127  0.004  0.000 (multiplicity 8)
Nd  0.053  0.745  0.653 (multiplicity 8)
Nd  0.143  0.236  0.319 (multiplicity 8)
Nd  0.250  0.742  0.350 (multiplicity 4)
Y  0.000  0.000  0.481 (multiplicity 4)
Y  0.250  0.008  0.540 (multiplicity 4)